[1]
The following is a PBE-GGA calculation of a relaxed structure of RbTl2PdBr8, from Alexandria.

Cell lengths 6.9119, 6.9119, 11.3981 Å; angles 72.35, 72.35, 60.00 degrees
Each line ends with the local moment (μB).
Sites, in units of the cell vectors:
Rb 0.0000 0.0000 0.0000  0.00
Tl 0.7528 0.7528 0.7417  -0.01
Tl 0.2472 0.2472 0.2583  -0.01
Pd 0.5000 0.5000 0.5000  0.65
Br 0.6698 0.6698 0.9906  0.00
Br 0.3302 0.3302 0.0094  0.00
Br 0.5854 0.2379 0.3304  0.04
Br 0.7621 0.4146 0.6696  0.04
Br 0.1537 0.7621 0.6696  0.04
Br 0.2379 0.8463 0.3304  0.04
Br 0.8463 0.5854 0.3304  0.04
Br 0.4146 0.1537 0.6696  0.04

## Properties
Formation energy (no corrections)   -12.73 kcal/mol of atoms



[2]
The following is a PBE-GGA calculation of a relaxed structure of Sm8TlBi3Te4, from Alexandria.

Cell lengths 9.0169, 8.9839, 9.0167 Å; angles 120.12, 120.00, 90.00 degrees
Sites, in units of the cell vectors:
Sm 0.2453 0.7445 0.9992
Sm 0.2453 0.7445 0.4907
Sm 0.2511 0.2533 0.5022
Sm 0.7539 0.7445 0.9992
Sm 0.2461 0.2555 0.0008
Sm 0.7489 0.7467 0.4978
Sm 0.7547 0.2555 0.5093
Sm 0.7547 0.2555 0.0008
Tl 0.0000 0.5000 0.0000
Bi 0.5000 0.5000 0.0000
Bi 0.5000 0.5000 0.5000
Bi 0.0000 0.5000 0.5000
Te 0.5000 0.0000 0.0000
Te 0.5000 0.0000 0.5000
Te 0.0000 0.0000 0.0000
Te 0.0000 0.0000 0.5000

## Properties
Formation energy (no corrections)   -25.53 kcal/mol of atoms



[3]
The following is a PBE-GGA calculation of a relaxed structure of GdSc2Sn, from Alexandria.

Cell lengths 3.7033, 3.7033, 7.4444 Å; angles 90.00, 90.00, 90.00 degrees
Each line ends with the local moment (μB).
Sites, in units of the cell vectors:
Sc 0.0000 0.0000 0.7819  0.12
Sc 0.0000 0.0000 0.2181  0.12
Gd 0.5000 0.5000 0.5000  7.30
Sn 0.5000 0.5000 0.0000  0.01

## Properties
DFT formation energy   -0.274 eV per atom
Excess energy over the best structure of this formula in the dataset   13.65 kJ/mol of atoms



[4]
The following is a PBE-GGA calculation of a relaxed structure of Tb6Pm16Ho7, from Alexandria.

Cell lengths 11.2625, 11.2625, 11.2625 Å; angles 60.00, 60.00, 60.00 degrees
Sites, in units of the cell vectors:
Tb 0.2682 0.7318 0.2682
Tb 0.7318 0.2682 0.7318
Tb 0.7318 0.2682 0.2682
Tb 0.2682 0.7318 0.7318
Tb 0.7318 0.7318 0.2682
Tb 0.2682 0.2682 0.7318
Pm 0.8751 0.8751 0.3747
Pm 0.8751 0.8751 0.8751
Pm 0.8751 0.3747 0.8751
Pm 0.3747 0.8751 0.8751
Pm 0.1249 0.1249 0.1249
Pm 0.1249 0.1249 0.6253
Pm 0.1249 0.6253 0.1249
Pm 0.6253 0.1249 0.1249
Pm 0.6499 0.6499 0.0503
Pm 0.6499 0.6499 0.6499
Pm 0.6499 0.0503 0.6499
Pm 0.0503 0.6499 0.6499
Pm 0.3501 0.3501 0.3501
Pm 0.3501 0.3501 0.9497
Pm 0.3501 0.9497 0.3501
Pm 0.9497 0.3501 0.3501
Ho 0.0000 0.0000 0.0000
Ho 0.5000 0.0000 0.5000
Ho 0.0000 0.5000 0.0000
Ho 0.0000 0.5000 0.5000
Ho 0.5000 0.0000 0.0000
Ho 0.0000 0.0000 0.5000
Ho 0.5000 0.5000 0.0000

## Properties
DFT formation energy   0.212 eV per atom



[5]
The following is a PBE-GGA calculation of a relaxed structure of TlCr2Pt, from Alexandria.

Cell lengths 3.1956, 3.1956, 6.9082 Å; angles 90.00, 90.00, 90.00 degrees
Each line ends with the local moment (μB).
Sites, in units of the cell vectors:
Cr 0.0000 0.0000 0.0350  3.33
Cr 0.0000 0.0000 0.4650  3.33
Pt 0.5000 0.5000 0.2500  0.20
Tl 0.5000 0.5000 0.7500  -0.06

## Properties
DFT formation energy   0.309 eV per atom
Excess energy over the best structure of this formula in the dataset   6.39 kJ/mol of atoms



[6]
The following is a PBE-GGA calculation of a relaxed structure of SmHfSc2, from Alexandria.

Cell lengths 4.6144, 4.6981, 4.6981 Å; angles 90.00, 90.00, 90.00 degrees
Sites, in units of the cell vectors:
Sc 0.0000 0.0000 0.5000
Sc 0.0000 0.5000 0.0000
Hf 0.5000 0.0000 0.0000
Sm 0.5000 0.5000 0.5000

## Properties
DFT formation energy   0.126 eV per atom
Excess energy over the best structure of this formula in the dataset   3.99 kJ/mol of atoms



[7]
The following is a PBE-GGA calculation of a relaxed structure of ZnSIN2, from Alexandria.

Cell lengths 4.0398, 4.0398, 5.7265 Å; angles 90.00, 90.00, 90.00 degrees
Each line ends with the local moment (μB).
Sites, in units of the cell vectors:
I 0.5000 0.5000 0.5000  0.11
Zn 0.0000 0.0000 0.0000  0.05
S 0.0000 0.0000 0.5000  0.08
N 0.0000 0.5000 0.0000  1.24
N 0.5000 0.0000 0.0000  1.24

## Properties
Formation energy (no corrections)   35.88 kcal/mol of atoms
Excess energy over the best structure of this formula in the dataset   10.53 kJ/mol of atoms



[8]
The following is a PBE-GGA calculation of a relaxed structure of BaCa5In6, from Alexandria.

Cell lengths 5.5317, 7.9214, 8.7655 Å; angles 90.00, 107.84, 90.00 degrees
Sites, in units of the cell vectors:
Ca 0.6621 0.5000 0.3264
Ca 0.3317 0.0000 0.6618
Ca 0.0000 0.5000 0.0000
Ca 0.6683 0.0000 0.3382
Ca 0.3379 0.5000 0.6736
Ba 0.0000 0.0000 0.0000
In 0.8285 0.7318 0.6545
In 0.8285 0.2682 0.6545
In 0.5000 0.2725 0.0000
In 0.5000 0.7275 0.0000
In 0.1715 0.7318 0.3455
In 0.1715 0.2682 0.3455

## Properties
DFT formation energy   -0.443 eV per atom



[9]
The following is a PBE-GGA calculation of a relaxed structure of TaIn2Au, from Alexandria.

Cell lengths 4.3759, 4.3747, 4.1133 Å; angles 90.00, 90.00, 90.00 degrees
Sites, in units of the cell vectors:
Au 0.0000 0.5000 0.5000
In 0.0000 0.0000 0.0000
In 0.5000 0.5000 0.0000
Ta 0.5000 0.0000 0.5000

## Properties
DFT formation energy   0.115 eV per atom
Excess energy over the best structure of this formula in the dataset   4.32 kJ/mol of atoms



[10]
The following is a PBE-GGA calculation of a relaxed structure of NiHgBi2H, from Alexandria.

Cell lengths 5.7294, 3.1462, 5.7294 Å; angles 90.00, 90.00, 90.00 degrees
Sites, in units of the cell vectors:
Ni 0.0000 0.5000 0.0000
Bi 0.0000 0.0000 0.5000
Bi 0.5000 0.0000 0.0000
H 0.0000 0.0000 0.0000
Hg 0.5000 0.5000 0.5000

## Properties
Excess energy over the best structure of this formula in the dataset   11.91 kJ/mol of atoms



[11]
The following is a PBE-GGA calculation of a relaxed structure of KReSe2, from Alexandria.

Cell lengths 6.0524, 6.0524, 6.0524 Å; angles 139.97, 139.97, 57.90 degrees
Each line ends with the local moment (μB).
Sites, in units of the cell vectors:
K 0.5000 0.5000 0.0000  0.02
Re 0.7500 0.2500 0.5000  3.16
Se 0.0000 0.0000 0.0000  -0.01
Se 0.2500 0.7500 0.5000  -0.05

## Properties
Formation energy (no corrections)   19.50 kcal/mol of atoms
Excess energy over the best structure of this formula in the dataset   107.13 kJ/mol of atoms



[12]
The following is a PBE-GGA calculation of a relaxed structure of Tl2MoBr, from Alexandria.

Cell lengths 6.5621, 6.5621, 6.5621 Å; angles 140.89, 140.89, 56.51 degrees
Each line ends with the local moment (μB).
Sites, in units of the cell vectors:
Tl 0.0000 0.0000 0.0000  0.03
Tl 0.2500 0.7500 0.5000  -0.02
Mo 0.7500 0.2500 0.5000  3.15
Br 0.5000 0.5000 0.0000  0.08

## Properties
Formation energy (no corrections)   16.23 kcal/mol of atoms
Excess energy over the best structure of this formula in the dataset   41.86 kJ/mol of atoms



So what do the calculations give for magnetization? Going down the list: 1.02 0.00 8.18 0.00 7.36 0.00 3.98 0.00 0.00 0.00 3.72 3.93 Bohr magnetons per cell.
So what do the calculations give for electronic total energy? Going down the list: -30.899 -82.044 -31.841 -129.686 -26.418 -26.833 -15.822 -33.679 -20.147 -15.823 -17.132 -14.421 eV per cell.